DFT (PBE-GGA) results for a geometry-optimized PrB2 structure.

It has space group Fd-3m (No. 227, origin choice 2), with a = 6.869 Å, b = 6.869 Å, c = 6.869 Å, α = 90.00°, β = 90.00° and γ = 90.00°. The distinct sites, in fractional coordinates, are Pr at (0.125, 0.125, 0.125) and B at (0.000, 0.000, 0.500).

Its total magnetic moment is 0.00 μB per atom. The calculation puts the final energy at -5.245 eV per atom.


DFT (PBE-GGA) results for a geometry-optimized PrBPt2 structure.

It has space group P6_422 (No. 181), with a = 5.5045 Å, b = 5.5045 Å, c = 8.0341 Å, α = 90.00°, β = 90.00° and γ = 120.00°. The distinct sites, in fractional coordinates, are Pr at (0.0000, 0.5000, 0.3333), B at (0.0000, 0.5000, 0.8333) and Pt at (0.1539, 0.3077, 0.0000).

Its total magnetic moment is 0.00 μB per atom. The calculation puts the final energy at -6.804 eV per atom.


DFT (PBE-GGA) results for a geometry-optimized PrBPt2 structure.

It has space group P6_222 (No. 180), with a = 5.4985 Å, b = 5.4985 Å, c = 8.0587 Å, α = 90.00°, β = 90.00° and γ = 120.00°. The distinct sites, in fractional coordinates, are Pr at (0.0000, 0.5000, 0.1667), B at (0.0000, 0.5000, 0.6667) and Pt at (0.1543, 0.3085, 0.5000).

Its total magnetic moment is 0.00 μB per atom. The calculation puts the final energy at -6.804 eV per atom.


DFT (PBE-GGA) results for a geometry-optimized SrPrB2Pt8 structure.

It has space group P6/mmm (No. 191), with a = 5.5534 Å, b = 5.5534 Å, c = 7.6577 Å, α = 90.00°, β = 90.00° and γ = 120.00°. The distinct sites, in fractional coordinates, are Sr at (0.0000, 0.0000, 0.0000), Pr at (0.0000, 0.0000, 0.5000), B at (0.3333, 0.6667, 0.5000), Pt at (0.0000, 0.5000, 0.3020) and Pt at (0.3333, 0.6667, 0.0000).

Its total magnetic moment is 0.00 μB per atom. The calculation puts the final energy at -6.392 eV per atom.


DFT (PBE-GGA) results for a geometry-optimized SrPrB2Pt8 structure.

It has space group P6/mmm (No. 191), with a = 5.5374 Å, b = 5.5374 Å, c = 7.6426 Å, α = 90.00°, β = 90.00° and γ = 120.00°. The distinct sites, in fractional coordinates, are Sr at (0.0000, 0.0000, 0.0000), Pr at (0.0000, 0.0000, 0.5000), B at (0.3333, 0.6667, 0.0000), Pt at (0.0000, 0.5000, 0.1984) and Pt at (0.3333, 0.6667, 0.5000).

Its total magnetic moment is 0.00 μB per atom. The calculation puts the final energy at -6.409 eV per atom.


DFT (PBE-GGA) results for a geometry-optimized PrPuB structure.

It has space group F-43m (No. 216), with a = 6.467 Å, b = 6.467 Å, c = 6.467 Å, α = 90.00°, β = 90.00° and γ = 90.00°. The distinct sites, in fractional coordinates, are Pr at (0.000, 0.000, 0.000), Pu at (0.000, 0.000, 0.500) and B at (0.250, 0.250, 0.250).

Its total magnetic moment is 1.94 μB per atom. The calculation puts the final energy at -8.262 eV per atom.